Below is Cs4Tb3CoO8 after structural relaxation, with properties calculated at the GGA+U level.

The space group is C2/m (No. 12) and the conventional cell measures 12.536, 6.862 and 7.873 Å, with angles of 90.00, 119.12 and 90.00 degrees. The inequivalent atoms are Cs at (0.000, 0.000, 0.000), Cs at (0.000, 0.500, 0.000), Cs at (0.250, 0.250, 0.000), Tb at (0.000, 0.000, 0.500), Tb at (0.250, 0.250, 0.500), Co at (0.000, 0.500, 0.500), O at (0.031, 0.285, 0.357), O at (0.213, 0.000, 0.665) and O at (0.239, 0.000, 0.303).

For the magnetic moment, the calculation gives 0.103 μB/cell. For the energy, the calculation gives -5.95 eV per atom.